1.
BaB3Pd: relaxed, GGA-PBEsol.

As for the calculated density: 5.975 g/cm3. The calculation puts the formation energy at 4.56 eV per formula unit.

Cell: 4.250 4.250 4.250 Å, 90.00 90.00 90.00°
Positions (direct):
1 Pd 0.000 0.000 0.000
2 B 0.000 0.500 0.000
3 B 0.000 0.000 0.500
4 B 0.500 0.000 0.000
5 Ba 0.500 0.500 0.500



2.
Li2HgS2: relaxed, GGA-PBEsol.

As for the uncorrected formation energy: -3.26 eV per formula unit. As for the calculated density: 5.208 g/cm3.

Cell: 3.565 7.060 7.060 Å, 90.00 90.00 90.00°
Positions (direct):
1 Li 0.500 0.361 0.139
2 Li 0.500 0.139 0.639
3 Li 0.500 0.861 0.361
4 Li 0.500 0.639 0.861
5 S 0.000 0.822 0.678
6 S 0.000 0.678 0.178
7 S 0.000 0.322 0.822
8 S 0.000 0.178 0.322
9 Hg 0.000 0.000 0.000
10 Hg 0.000 0.500 0.500



3.
IrOsW2: relaxed, GGA-PBEsol.

As for the calculated density: 20.600 g/cm3. Its excess energy over the best structure of this formula in the dataset is 54.7 kJ/mol of atoms. The calculation puts the formation energy at 1.79 eV per formula unit.

Cell: 4.406 4.406 4.406 Å, 60.00 60.00 60.00°
Positions (direct):
1 Ir 0.000 0.000 0.000
2 Os 0.500 0.500 0.500
3 W 0.250 0.250 0.250
4 W 0.750 0.750 0.750



4.
ZrSiN2F: relaxed, GGA-PBEsol.

As for the uncorrected formation energy: -5.62 eV per formula unit. As for the calculated density: 5.831 g/cm3.

Cell: 3.473 3.693 3.693 Å, 90.00 90.00 90.00°
Positions (direct):
1 Zr 0.500 0.500 0.500
2 F 0.500 0.000 0.000
3 N 0.000 0.500 0.000
4 N 0.000 0.000 0.500
5 Si 0.000 0.000 0.000